Here is a relaxed structure of KCrRe from Alexandria via LeMat-Bulk. Energies are from PBE.

The structure in CIF format:
```
data_KCrRe
_cell_length_a 3.0100
_cell_length_b 3.0100
_cell_length_c 7.8961
_cell_angle_alpha 90.00
_cell_angle_beta 90.00
_cell_angle_gamma 120.00
_space_group_name_H-M_alt 'P 3 m 1'
_space_group_IT_number 156
_space_group_name_Hall 'P 3 -2"'
loop_
_atom_site_label
_atom_site_type_symbol
_atom_site_fract_x
_atom_site_fract_y
_atom_site_fract_z
K1 K 0.0000 0.0000 0.0000
Cr1 Cr 0.3333 0.6667 0.5987
Re1 Re 0.6667 0.3333 0.3980
```

## Properties
- Offset from the most stable computed form: 97 meV per atom
- Density of states at the Fermi level: 2.74 states/eV per cell
- Formation energy: 1.06 eV per atom

=====

Here is a relaxed structure of Sm2Ni3P4Ru from Alexandria via LeMat-Bulk. Energies are from PBE.

The structure in CIF format:
```
data_Sm2Ni3P4Ru
_cell_length_a 4.018
_cell_length_b 4.018
_cell_length_c 9.376
_cell_angle_alpha 90.00
_cell_angle_beta 90.00
_cell_angle_gamma 90.00
_space_group_name_H-M_alt 'P -4 m 2'
_space_group_IT_number 115
_space_group_name_Hall 'P -4 -2'
loop_
_atom_site_label
_atom_site_type_symbol
_atom_site_fract_x
_atom_site_fract_y
_atom_site_fract_z
Sm1 Sm 0.000 0.500 0.240
Ni1 Ni 0.000 0.500 0.885
Ni2 Ni 0.500 0.500 0.500
P1 P 0.000 0.000 0.000
P2 P 0.000 0.500 0.638
P3 P 0.500 0.500 0.000
Ru1 Ru 0.000 0.000 0.500
```

## Properties
- Density of states at the Fermi level: 4.83 states/eV per cell
- Formation energy: -0.97 eV per atom

=====

Here is a relaxed structure of InCuRh2 from Alexandria via LeMat-Bulk. Energies are from PBE.

The structure in CIF format:
```
data_InCuRh2
_cell_length_a 2.769
_cell_length_b 4.499
_cell_length_c 10.651
_cell_angle_alpha 90.00
_cell_angle_beta 90.00
_cell_angle_gamma 90.00
_space_group_name_H-M_alt 'I m m m'
_space_group_IT_number 71
_space_group_name_Hall '-I 2 2'
loop_
_atom_site_label
_atom_site_type_symbol
_atom_site_fract_x
_atom_site_fract_y
_atom_site_fract_z
In1 In 0.000 0.000 0.000
Cu1 Cu 0.000 0.000 0.500
Rh1 Rh 0.000 0.000 0.271
```

## Properties
- Density of states at the Fermi level: 8.63 states/eV per cell
- Formation energy: 0.30 eV per atom

=====

formation energy of number 1 (KCrRe)?
1.06 eV per atom

=====

Look up the formation energy of the first one.
1.06 eV per atom